A plane-wave DFT calculation with PBE was carried out for an optimized crystal structure of PmRhI6.

Calculated values
DFT total energy	-26.885	eV per cell
volume	37.6	A^3/atom
ρ	5.57	g cm⁻³

Structure (POSCAR):
```
PmRhI6
1.0
3.6296 2.0955 6.5952
-3.6296 2.0955 6.5952
0.0000 -4.1911 6.5952
Pm Rh I
1 1 6
Direct
0.0000 0.0000 0.0000
0.5000 0.5000 0.5000
0.1072 0.7217 0.4357
0.2783 0.5643 0.8928
0.4357 0.1072 0.7217
0.5643 0.8928 0.2783
0.7217 0.4357 0.1072
0.8928 0.2783 0.5643
```

A plane-wave DFT calculation with PBE was carried out for an optimized crystal structure of Pm6Rh3I2.

Calculated values
DOS(E_F)	5.4	states/eV/f.u.
DFT total energy	-62.168	eV per cell
volume	32.7	A^3/atom
ρ	6.62	g cm⁻³

Structure (POSCAR):
```
Pm6Rh3I2
1.0
3.5809 -6.2106 0.0000
3.5809 6.2106 0.0000
-2.4034 0.0000 8.0782
Pm Rh I
6 3 2
Direct
0.1042 0.4376 0.8146
0.2283 0.2283 0.1836
0.4376 0.1042 0.8146
0.5624 0.8958 0.1854
0.7717 0.7717 0.8164
0.8958 0.5624 0.1854
0.1684 0.8316 0.0000
0.5000 0.5000 0.0000
0.8316 0.1684 0.0000
0.3338 0.6662 0.5000
0.6662 0.3338 0.5000
```

A plane-wave DFT calculation with PBE was carried out for an optimized crystal structure of Pm4Rh2I.

Calculated values
DOS(E_F)	4.9	states/eV/f.u.
DFT total energy	-40.370	eV per cell
E above lowest polymorph	0	meV per atom
volume	30.5	A^3/atom
ρ	7.09	g cm⁻³

Structure (POSCAR):
```
Pm4Rh2I
1.0
2.0832 1.2027 14.2129
-2.0832 1.2027 14.2129
0.0000 -2.4055 14.2129
Pm Rh I
4 2 1
Direct
0.1291 0.1291 0.1291
0.2736 0.2736 0.2736
0.7264 0.7264 0.7264
0.8709 0.8709 0.8709
0.4282 0.4282 0.4282
0.5718 0.5718 0.5718
0.0000 0.0000 0.0000
```

A plane-wave DFT calculation with PBE was carried out for an optimized crystal structure of Pm2RhI.

Calculated values
DOS(E_F)	4.5	states/eV/f.u.
DFT total energy	-18.704	eV per cell
E above lowest polymorph	872	meV per atom
volume	29.3	A^3/atom
ρ	7.38	g cm⁻³

Structure (POSCAR):
```
Pm2RhI
1.0
1.8116 1.0459 10.2942
-1.8116 1.0459 10.2942
0.0000 -2.0919 10.2942
Pm Rh I
2 1 1
Direct
0.0825 0.0825 0.0825
0.9175 0.9175 0.9175
0.0000 0.0000 0.0000
0.5000 0.5000 0.5000
```